1.
Here is Si2SbPbAu after structural relaxation from the Alexandria database. Energies are from PBE.

```
5
Lattice="5.2042 0.0000 0.0000 0.0000 5.8658 0.0000 0.0000 0.0000 5.2042" Properties=species:S:1:pos:R:3 pbc="T T T"
Pb 0.0000 0.0000 0.0000
Sb 0.0000 2.9329 0.0000
Si 0.0000 0.0000 2.6021
Si 2.6021 0.0000 0.0000
Au 2.6021 2.9329 2.6021
```

Values from the calculation:
**Spin magnetization**: 0.000 Bohr magnetons per cell
**E**: -2.9440 eV per atom
**Calculated volume**: 31.77 Å³/atom
**Uncorrected formation energy**: 7.23 eV/f.u.
**Density of states at the Fermi level**: 0.823 states/eV per atom

2.
Here is AlInSi after structural relaxation from the Alexandria database. Energies are from PBE.

```
3
Lattice="4.2495 0.0000 0.0000 -2.1247 3.6802 0.0000 0.0000 0.0000 4.2876" Properties=species:S:1:pos:R:3 pbc="T T T"
Si 0.0000 2.4534 3.5509
Al 0.0000 0.0000 3.5929
In 2.1247 1.2267 1.4313
```

Values from the calculation:
**Spin magnetization**: 0.000 Bohr magnetons per cell
**E**: -3.7114 eV per atom
**Calculated volume**: 22.35 Å³/atom
**Uncorrected formation energy**: 0.77 eV/f.u.
**Distance to the lowest polymorph of the same formula**: 0 meV/atom
**Density of states at the Fermi level**: 0.406 states/eV per atom

3.
Here is NpAlH5 after structural relaxation from the Alexandria database. Energies are from PBE.

```
14
Lattice="-1.8496 -3.6977 1.4096 2.6312 -3.4704 0.3385 1.8502 -2.2494 7.2625" Properties=species:S:1:pos:R:3 pbc="T T T"
Np 1.7790 -5.2711 6.3207
Np 0.8528 -4.1464 2.6897
Al 0.0000 0.0000 0.0000
Al 0.9251 -1.1247 3.6312
H 3.1971 -6.8631 7.5599
H 2.2705 -5.7370 3.9312
H 0.3060 -5.8382 4.3986
H -0.4615 -5.3848 6.8563
H 1.3983 -2.4562 0.9790
H 1.2334 -6.9613 8.0315
H 3.0933 -4.0327 2.1542
H 2.3258 -3.5793 4.6118
H 0.3613 -3.6805 5.0793
H -0.5654 -2.5544 1.4506
```

Values from the calculation:
**Spin magnetization**: 8.530 Bohr magnetons per cell
**E**: -4.8048 eV per atom
**Calculated volume**: 8.16 Å³/atom
**Density of states at the Fermi level**: 0.875 states/eV per atom

4.
Here is SnBi2Pd after structural relaxation from the Alexandria database. Energies are from PBE.

```
4
Lattice="3.3742 0.0000 0.0000 1.6871 2.9222 0.0000 1.6871 0.9741 11.1879" Properties=species:S:1:pos:R:3 pbc="T T T"
Bi 1.6871 0.9741 8.4931
Bi 5.0614 2.9222 2.6948
Pd 0.0000 0.0000 0.0000
Sn 3.3742 1.9481 5.5940
```

Values from the calculation:
**Spin magnetization**: 0.000 Bohr magnetons per cell
**Energy of formation**: 212 meV/atom
**E**: -4.0272 eV per atom
**Calculated volume**: 27.58 Å³/atom
**Density of states at the Fermi level**: 0.734 states/eV per atom

5.
Here is Zr2TaNi9 after structural relaxation from the Alexandria database. Energies are from PBE.

```
12
Lattice="3.7401 0.0000 0.0000 0.0000 3.7401 0.0000 0.0000 0.0000 11.1775" Properties=species:S:1:pos:R:3 pbc="T T T"
Zr 0.0000 0.0000 3.7026
Zr 0.0000 0.0000 7.4749
Ta 0.0000 0.0000 0.0000
Ni 1.8700 1.8700 0.0000
Ni 1.8700 1.8700 3.6862
Ni 1.8700 1.8700 7.4913
Ni 1.8700 0.0000 1.7848
Ni 1.8700 0.0000 5.5887
Ni 1.8700 0.0000 9.3927
Ni 0.0000 1.8700 1.7848
Ni 0.0000 1.8700 5.5887
Ni 0.0000 1.8700 9.3927
```

Values from the calculation:
**Spin magnetization**: 0.000 Bohr magnetons per cell
**Energy of formation**: -336 meV/atom
**E**: -7.0848 eV per atom
**Calculated volume**: 13.03 Å³/atom
**Density of states at the Fermi level**: 0.843 states/eV per atom

6.
Here is GaNi15Ge4 after structural relaxation from the Alexandria database. Energies are from PBE.

```
20
Lattice="-2.7538 1.9212 -1.2324 0.8961 -0.8662 -3.3526 -10.4996 -14.4543 0.9282" Properties=species:S:1:pos:R:3 pbc="T T T"
Ga 0.0000 0.0000 0.0000
Ni -0.9289 0.5275 -2.2925
Ni -3.0397 -2.3784 -2.1059
Ni -5.1310 -5.2574 -1.9210
Ni -7.2263 -8.1419 -1.7357
Ni -9.3176 -11.0209 -1.5509
Ni -2.4345 -0.4954 -0.5227
Ni -4.5291 -3.3788 -0.3375
Ni -6.6267 -6.2665 -0.1521
Ni -8.7243 -9.1543 0.0334
Ni -10.8189 -12.0377 0.2185
Ni -0.6096 -1.8891 -1.5828
Ni -2.7042 -4.7725 -1.3976
Ni -4.8018 -7.6602 -1.2122
Ni -6.8994 -10.5480 -1.0267
Ni -8.9940 -13.4314 -0.8416
Ge -2.0871 -2.8733 0.1845
Ge -4.1971 -5.7779 0.3710
Ge -6.3026 -8.6764 0.5572
Ge -8.4125 -11.5810 0.7437
```

Values from the calculation:
**Spin magnetization**: 0.199 Bohr magnetons per cell
**Energy of formation**: -290 meV/atom
**E**: -5.7005 eV per atom
**Calculated volume**: 11.44 Å³/atom
**Density of states at the Fermi level**: 1.005 states/eV per atom